Entry 1:
Compound: CaBi2Sb
Source: the Alexandria database
Functional: GGA-PBEsol
Structure: optimized geometry

a = 7.3319 Å, b = 7.3319 Å, c = 8.2829 Å
α = 116.27°, β = 116.27°, γ = 90.00°
Closest atoms and distances in Å follow each position.
Element x y z (fractional)
Sb1 0.2500 0.7500 0.5000  4 Bi 2.95
Sb2 0.0000 0.0000 0.0000  4 Bi 2.95
Ca1 0.7500 0.2500 0.5000  4 Bi 3.16
Ca2 0.5000 0.5000 0.0000  4 Bi 3.16
Bi1 0.3514 0.8750 0.2500  2 Sb 2.95, 2 Ca 3.16
Bi2 0.8986 0.3750 0.2500  2 Sb 2.95, 2 Ca 3.16
Bi3 0.1250 0.1014 0.7500  2 Sb 2.95, 2 Ca 3.16
Bi4 0.6250 0.6486 0.7500  2 Sb 2.95, 2 Ca 3.16

Values from the calculation:
- Size of the total moment: 0.00 μB/cell
- Mass density: 5.55 g cm⁻³
- Total energy: -30.3 eV/cell
- Calculated volume: 43.407 A^3/atom
- Symmetry: I-42d

---

Entry 2:
Compound: LaRuSe2
Source: the Alexandria database
Functional: GGA-PBEsol
Structure: optimized geometry

a = 4.8544 Å, b = 4.8544 Å, c = 4.8544 Å
α = 60.00°, β = 60.00°, γ = 60.00°
Closest atoms and distances in Å follow each position.
Element x y z (fractional)
La1 0.5000 0.5000 0.5000  4 Se 2.97, 4 Ru 2.97
Ru1 0.2500 0.2500 0.2500  4 La 2.97, 4 Se 2.97
Se1 0.0000 0.0000 0.0000  4 Se 2.97, 4 Ru 2.97
Se2 0.7500 0.7500 0.7500  4 La 2.97, 4 Se 2.97

Values from the calculation:
- Size of the total moment: 1.07 μB/cell
- Mass density: 8.17 g cm⁻³
- Total energy: -23.8 eV/cell
- Calculated volume: 20.222 A^3/atom
- Symmetry: F-43m

---

Entry 3:
Compound: Ba2NaOsO6
Source: the Alexandria database
Functional: GGA-PBEsol
Structure: optimized geometry

a = 5.8425 Å, b = 5.8425 Å, c = 5.8425 Å
α = 60.00°, β = 60.00°, γ = 60.00°
Closest atoms and distances in Å follow each position.
Element x y z (fractional)
Ba1 0.2500 0.2500 0.2500  12 O 2.93
Ba2 0.7500 0.7500 0.7500  12 O 2.93
Na1 0.5000 0.5000 0.5000  6 O 2.24
Os1 0.0000 0.0000 0.0000  6 O 1.89
O1 0.2287 0.7713 0.2287  1 Os 1.89
O2 0.7713 0.7713 0.2287  1 Os 1.89
O3 0.2287 0.2287 0.7713  1 Os 1.89
O4 0.7713 0.2287 0.2287  1 Os 1.89
O5 0.7713 0.2287 0.7713  1 Os 1.89
O6 0.2287 0.7713 0.7713  1 Os 1.89

Values from the calculation:
- Size of the total moment: 0.03 μB/cell
- Mass density: 6.88 g cm⁻³
- Total energy: -69.3 eV/cell
- Calculated volume: 14.102 A^3/atom
- Symmetry: Fm-3m

---

Entry 4:
Compound: Li3Au
Source: the Alexandria database
Functional: GGA-PBEsol
Structure: optimized geometry

a = 2.8006 Å, b = 3.9658 Å, c = 5.6429 Å
α = 90.00°, β = 90.36°, γ = 90.00°
Closest atoms and distances in Å follow each position.
Element x y z (fractional)
Au1 0.0000 0.0000 0.0000  10 Li 2.73-2.82, 2 Au 2.80
Li1 0.4989 0.5000 0.7779  3 Li 2.51-2.80, 4 Au 2.73
Li2 0.0000 0.0000 0.5000  10 Li 2.80-2.90, 2 Au 2.82
Li3 0.5011 0.5000 0.2221  3 Li 2.51-2.80, 4 Au 2.73

Values from the calculation:
- Size of the total moment: 0.00 μB/cell
- Mass density: 5.77 g cm⁻³
- Total energy: -11.1 eV/cell
- Calculated volume: 15.668 A^3/atom
- DFT formation energy: -314 meV per atom
- Symmetry: P2/m

---

Entry 5:
Compound: Tc3W4
Source: the Alexandria database
Functional: GGA-PBEsol
Structure: optimized geometry

a = 3.1105 Å, b = 3.1105 Å, c = 11.1186 Å
α = 98.04°, β = 98.04°, γ = 90.00°
Closest atoms and distances in Å follow each position.
Element x y z (fractional)
Tc1 0.0000 0.0000 0.0000  8 W 2.70
Tc2 0.2884 0.2884 0.5768  4 W 2.65, 4 Tc 2.76
Tc3 0.7116 0.7116 0.4232  4 W 2.65, 4 Tc 2.76
W1 0.1442 0.1442 0.2883  4 Tc 2.65, 4 W 2.70
W2 0.4279 0.4279 0.8559  4 Tc 2.70, 4 W 2.70
W3 0.5721 0.5721 0.1441  4 Tc 2.70, 4 W 2.70
W4 0.8558 0.8558 0.7117  4 Tc 2.65, 4 W 2.70

Values from the calculation:
- Size of the total moment: 0.00 μB/cell
- Mass density: 16.21 g cm⁻³
- Total energy: -88.4 eV/cell
- Calculated volume: 15.064 A^3/atom
- DFT formation energy: 94 meV per atom
- Symmetry: I4/mmm

---

Entry 6:
Compound: BaMgBr
Source: the Alexandria database
Functional: GGA-PBEsol
Structure: optimized geometry

a = 5.4417 Å, b = 5.4417 Å, c = 5.4417 Å
α = 60.00°, β = 60.00°, γ = 60.00°
Closest atoms and distances in Å follow each position.
Element x y z (fractional)
Ba1 0.5000 0.5000 0.5000  4 Br 3.33
Br1 0.2500 0.2500 0.2500  4 Ba 3.33, 4 Mg 3.33
Mg1 0.0000 0.0000 0.0000  4 Br 3.33

Values from the calculation:
- Size of the total moment: 0.00 μB/cell
- Mass density: 3.52 g cm⁻³
- Total energy: -7.7 eV/cell
- Calculated volume: 37.980 A^3/atom
- Symmetry: F-43m

---

Entry 7:
Compound: TiZnSnO4
Source: the Alexandria database
Functional: GGA-PBEsol
Structure: optimized geometry

a = 9.1699 Å, b = 9.1692 Å, c = 9.1692 Å
α = 120.00°, β = 90.00°, γ = 90.00°
Closest atoms and distances in Å follow each position.
Element x y z (fractional)
Ti1 0.5727 0.3258 0.3110  4 O 1.78-1.85
Ti2 0.5727 0.6890 0.0148  4 O 1.78-1.85
Ti3 0.5727 0.9852 0.6742  4 O 1.78-1.85
Ti4 0.0727 0.6742 0.6890  4 O 1.78-1.85
Ti5 0.0727 0.3110 0.9852  4 O 1.78-1.85
Ti6 0.0727 0.0148 0.3258  4 O 1.78-1.85
Zn1 0.4504 0.3335 0.9821  4 O 1.93-1.99
Zn2 0.4504 0.0179 0.3514  4 O 1.93-1.99
Zn3 0.4504 0.6486 0.6665  4 O 1.93-1.99
Zn4 0.9504 0.6665 0.0179  4 O 1.93-1.99
Zn5 0.9504 0.9821 0.6486  4 O 1.93-1.99
Zn6 0.9504 0.3514 0.3335  4 O 1.93-1.99
Sn1 0.8244 0.0000 0.0000  3 O 2.16
Sn2 0.3244 0.0000 0.0000  3 O 2.16
Sn3 0.6751 0.6667 0.3333  3 O 2.28
Sn4 0.1751 0.3333 0.6667  3 O 2.28
Sn5 0.7027 0.3333 0.6667  3 O 2.15
Sn6 0.2027 0.6667 0.3333  3 O 2.15
O1 0.4654 0.2185 0.1160  1 Ti 1.84, 1 Zn 1.98
O2 0.4654 0.8840 0.1025  1 Ti 1.84, 1 Zn 1.98
O3 0.4654 0.8975 0.7815  1 Ti 1.84, 1 Zn 1.98
O4 0.9654 0.7815 0.8840  1 Ti 1.84, 1 Zn 1.98
O5 0.9654 0.1160 0.8975  1 Ti 1.84, 1 Zn 1.98
O6 0.9654 0.1025 0.2185  1 Ti 1.84, 1 Zn 1.98
O7 0.5188 0.5481 0.4374  1 Ti 1.84, 1 Zn 1.93
O8 0.5188 0.5626 0.1107  1 Ti 1.84, 1 Zn 1.93
O9 0.5188 0.8893 0.4519  1 Ti 1.84, 1 Zn 1.93
O10 0.0188 0.4519 0.5626  1 Ti 1.84, 1 Zn 1.93
O11 0.0188 0.4374 0.8893  1 Ti 1.84, 1 Zn 1.93
O12 0.0188 0.1107 0.5481  1 Ti 1.84, 1 Zn 1.93
O13 0.5707 0.2257 0.4425  1 Ti 1.85, 1 Zn 1.99
O14 0.5707 0.5575 0.7832  1 Ti 1.85, 1 Zn 1.99
O15 0.5707 0.2168 0.7743  1 Ti 1.85, 1 Zn 1.99
O16 0.0707 0.7743 0.5575  1 Ti 1.85, 1 Zn 1.99
O17 0.0707 0.4425 0.2168  1 Ti 1.85, 1 Zn 1.99
O18 0.0707 0.7832 0.2257  1 Ti 1.85, 1 Zn 1.99
O19 0.2536 0.2600 0.9048  1 Ti 1.78, 1 Zn 1.93
O20 0.2536 0.0952 0.3552  1 Ti 1.78, 1 Zn 1.93
O21 0.2536 0.6448 0.7400  1 Ti 1.78, 1 Zn 1.93
O22 0.7536 0.7400 0.0952  1 Ti 1.78, 1 Zn 1.93
O23 0.7536 0.9048 0.6448  1 Ti 1.78, 1 Zn 1.93
O24 0.7536 0.3552 0.2600  1 Ti 1.78, 1 Zn 1.93

Values from the calculation:
- Size of the total moment: 0.00 μB/cell
- Mass density: 4.42 g cm⁻³
- Total energy: -295.0 eV/cell
- Calculated volume: 15.897 A^3/atom
- Symmetry: P6_3

---

Entry 8:
Compound: Na2Be2O3
Source: the Alexandria database
Functional: GGA-PBEsol
Structure: optimized geometry

a = 4.9141 Å, b = 5.2235 Å, c = 5.3450 Å
α = 90.00°, β = 113.34°, γ = 90.00°
Closest atoms and distances in Å follow each position.
Element x y z (fractional)
Na1 0.1880 0.3755 0.9276  4 O 2.20-2.31
Na2 0.1880 0.1245 0.4276  4 O 2.20-2.31
Na3 0.8120 0.8755 0.5724  4 O 2.20-2.31
Na4 0.8120 0.6245 0.0724  4 O 2.20-2.31
Be1 0.3319 0.6018 0.5717  4 O 1.61-1.76
Be2 0.6681 0.1018 0.9283  4 O 1.61-1.76
Be3 0.3319 0.8982 0.0717  4 O 1.61-1.76
Be4 0.6681 0.3982 0.4283  4 O 1.61-1.76
O1 0.0000 0.5000 0.5000  2 Be 1.61
O2 0.0000 0.0000 0.0000  2 Be 1.61
O3 0.4114 0.8522 0.7934  3 Be 1.70-1.76
O4 0.5886 0.3522 0.7066  3 Be 1.70-1.76
O5 0.4114 0.6478 0.2934  3 Be 1.70-1.76
O6 0.5886 0.1478 0.2066  3 Be 1.70-1.76

Values from the calculation:
- Size of the total moment: 0.00 μB/cell
- Mass density: 2.95 g cm⁻³
- Total energy: -83.0 eV/cell
- Calculated volume: 8.998 A^3/atom
- Symmetry: P2_1/c

---

Entry 9:
Compound: Sr2TaMo
Source: the Alexandria database
Functional: GGA-PBEsol
Structure: optimized geometry

a = 3.3332 Å, b = 4.0005 Å, c = 9.6782 Å
α = 101.77°, β = 99.92°, γ = 90.00°
Closest atoms and distances in Å follow each position.
Element x y z (fractional)
Mo1 0.5000 0.0000 0.0000  4 Ta 2.60
Sr1 0.8457 0.8466 0.6913  2 Mo 3.33, 2 Sr 3.33, 2 Ta 3.50-3.51
Sr2 0.1543 0.1534 0.3087  2 Mo 3.33, 2 Sr 3.33, 2 Ta 3.50-3.51
Ta1 0.0000 0.5000 0.0000  4 Mo 2.60

Values from the calculation:
- Size of the total moment: 0.00 μB/cell
- Mass density: 6.04 g cm⁻³
- Total energy: -25.1 eV/cell
- Calculated volume: 31.093 A^3/atom
- DFT formation energy: 735 meV per atom
- Symmetry: C2/m